The following is a DFT calculation (PBE) of Cs2As2Cl after structural relaxation.

```
Cs2As2Cl
1.0
-1.9704 1.9704 10.6736
1.9704 -1.9704 10.6736
1.9704 1.9704 -10.6736
Cs As Cl
2 2 1
Direct
0.0999 0.0999 0.0000 Cs
0.9001 0.9001 0.0000 Cs
0.2500 0.7500 0.5000 As
0.7500 0.2500 0.5000 As
0.5000 0.5000 0.0000 Cl
```

ΔE_f (raw) = -838 meV/atom
V = 165.76 Å³ per cell
SG = I4/mmm, No. 139